1.
{
  "formula": "TaNb2Sn",
  "functional": "GGA-PBE",
  "state": "relaxed",
  "dft_energy_ev_per_atom": -9.142,
  "sg": "P4_2/mmc, No. 131",
  "lattice": [[5.2931, 0.0000, 0.0000], [0.0000, 5.2931, 0.0000], [0.0000, 0.0000, 5.3761]],
  "species": ["Ta", "Ta", "Nb", "Nb", "Nb", "Nb", "Sn", "Sn"],
  "fractional_positions": [[0.0000, 0.0000, 0.2500], [0.0000, 0.0000, 0.7500], [0.2447, 0.5000, 0.0000], [0.5000, 0.2447, 0.5000], [0.5000, 0.7553, 0.5000], [0.7553, 0.5000, 0.0000], [0.0000, 0.5000, 0.5000], [0.5000, 0.0000, 0.0000]]
}

2.
{
  "formula": "TaNb2Sn",
  "functional": "GGA-PBE",
  "state": "relaxed",
  "dft_energy_ev_per_atom": -9.140,
  "sg": "Ama2, No. 40",
  "lattice": [[5.2879, 0.0000, 0.0000], [0.0000, 3.7734, 3.7732], [0.0000, -3.7734, 3.7732]],
  "species": ["Ta", "Ta", "Nb", "Nb", "Nb", "Nb", "Sn", "Sn"],
  "fractional_positions": [[0.2500, 0.1228, 0.8772], [0.7500, 0.8772, 0.1228], [0.0000, 0.6252, 0.6252], [0.2500, 0.1230, 0.3714], [0.5000, 0.6252, 0.6252], [0.7500, 0.3714, 0.1230], [0.2500, 0.6229, 0.1252], [0.7500, 0.1252, 0.6229]]
}

3.
{
  "formula": "Ta5NbSn2",
  "functional": "GGA-PBE",
  "state": "relaxed",
  "dft_energy_ev_per_atom": -9.733,
  "sg": "P-4m2, No. 115",
  "lattice": [[5.3304, 0.0000, 0.0000], [0.0000, 5.3304, 0.0000], [0.0000, 0.0000, 5.2899]],
  "species": ["Ta", "Ta", "Ta", "Ta", "Ta", "Nb", "Sn", "Sn"],
  "fractional_positions": [[0.0000, 0.0000, 0.0000], [0.2521, 0.5000, 0.7509], [0.5000, 0.2521, 0.2491], [0.5000, 0.7479, 0.2491], [0.7479, 0.5000, 0.7509], [0.0000, 0.0000, 0.5000], [0.0000, 0.5000, 0.2510], [0.5000, 0.0000, 0.7490]]
}

4.
{
  "formula": "TaNbSn",
  "functional": "GGA-PBE",
  "state": "relaxed",
  "sg": "F-43m, No. 216",
  "relative_energy_ev_per_fu": 0.00,
  "lattice": [[0.0000, 3.2328, 3.2328], [3.2328, 0.0000, 3.2328], [3.2328, 3.2328, 0.0000]],
  "species": ["Ta", "Nb", "Sn"],
  "fractional_positions": [[0.0000, 0.0000, 0.0000], [0.5000, 0.5000, 0.5000], [0.7500, 0.7500, 0.7500]]
}